No. 1
Entry from Alexandria via LeMat-Bulk: a relaxed structure of TlIn2AgI (PBE).

Formation energy without anion corrections (eV per atom): 0.196
Electronic total energy (eV/atom): -2.25

Lattice parameters (Å, degrees): 5.955 5.955 5.337 90.00 90.00 90.00
Space group P4/mmm (No. 123)
Inequivalent atoms, fractional coordinates:
1 Tl 0.000 0.000 0.000 x1
2 In 0.000 0.500 0.000 x2
3 Ag 0.000 0.000 0.500 x1
4 I 0.500 0.500 0.500 x1

---

No. 2
Entry from Alexandria via LeMat-Bulk: a relaxed structure of ZrTc2Ru (PBE).

ΔE to the lowest computed polymorph (eV/atom): 0.1278
Energy relative to the elements (eV per atom): 0.067
Electronic total energy (eV/atom): -9.57

Lattice parameters (Å, degrees): 2.794 4.486 5.212 90.00 101.50 90.00
Space group P2/m (No. 10)
Inequivalent atoms, fractional coordinates:
1 Zr 0.000 0.000 0.000 x1
2 Tc 0.214 0.500 0.743 x2
3 Ru 0.500 0.000 0.500 x1

---

No. 3
Entry from Alexandria via LeMat-Bulk: a relaxed structure of MgSbTe2H (PBE).

ΔE to the lowest computed polymorph (eV/atom): 0.0000
Electronic total energy (eV/atom): -2.88

Lattice parameters (Å, degrees): 5.466 5.466 3.868 90.00 90.00 90.00
Space group P4/mmm (No. 123)
Inequivalent atoms, fractional coordinates:
1 Mg 0.000 0.000 0.000 x1
2 Sb 0.500 0.500 0.000 x1
3 Te 0.000 0.500 0.500 x2
4 H 0.500 0.500 0.500 x1